(1)
VASP calculation (PBE-GGA) on an optimized crystal structure of CuAs2I6.

Values from the calculation:
Formation energy from raw total energies ... -20 kJ/mol of formula units
DFT total energy ... -2.5448 eV per atom

Geometry as extended XYZ:
```
9
Lattice="3.883 2.242 7.349 -3.883 2.242 7.349 0.000 -4.484 7.349" Properties=species:S:1:pos:R:3 pbc="T T T"
Cu 0.000 0.000 0.000
As 0.000 0.000 6.003
As 0.000 0.000 8.635
I -1.099 -2.496 9.034
I -2.726 -0.259 13.050
I -1.612 2.200 9.034
I 1.588 -2.231 13.050
I 2.711 0.296 9.034
I 1.138 2.490 13.050
```

(2)
VASP calculation (PBE-GGA) on an optimized crystal structure of HfAlCo2Pt.

Values from the calculation:
E_form ... 1.0439 eV per atom
DFT total energy ... -5.7458 eV per atom

Geometry as extended XYZ:
```
5
Lattice="4.452 0.000 0.000 0.000 4.452 0.000 0.000 0.000 4.965" Properties=species:S:1:pos:R:3 pbc="T T T"
Hf 0.000 0.000 0.000
Al 2.226 2.226 2.482
Co 0.000 2.226 0.000
Co 2.226 0.000 0.000
Pt 0.000 0.000 2.482
```

(3)
VASP calculation (PBE-GGA) on an optimized crystal structure of Sm2LuPu.

Values from the calculation:
ΔE to the lowest computed polymorph ... 0 meV/atom
E_form ... 0.1090 eV per atom
DFT total energy ... -6.9638 eV per atom

Geometry as extended XYZ:
```
4
Lattice="3.520 0.000 0.000 0.000 3.520 0.000 0.000 0.000 10.034" Properties=species:S:1:pos:R:3 pbc="T T T"
Sm 0.000 0.000 2.497
Sm 0.000 0.000 7.537
Lu 1.760 1.760 5.017
Pu 1.760 1.760 0.000
```

(4)
VASP calculation (PBE-GGA) on an optimized crystal structure of Sc3FePb.

Values from the calculation:
ΔE to the lowest computed polymorph ... 1361 meV/atom
E_form ... 1.2460 eV per atom
DFT total energy ... -4.9871 eV per atom

Geometry as extended XYZ:
```
5
Lattice="5.337 0.000 0.000 0.000 5.337 0.000 0.000 0.000 5.337" Properties=species:S:1:pos:R:3 pbc="T T T"
Sc 0.000 0.000 2.669
Sc 0.000 2.669 0.000
Sc 2.669 0.000 0.000
Fe 2.669 2.669 2.669
Pb 0.000 0.000 0.000
```